[1]
## GaTeCI2 (GGA-PBEsol)

Data for a relaxed GaTeCI2 crystal.

The structure in POSCAR format:
```
GaTeCI2
1.0
5.1373 0.0000 0.0000
0.0000 5.1373 0.0000
0.0000 0.0000 4.7328
Ga Te C I
1 1 1 2
Direct
0.0000 0.0000 0.0000 Ga
0.5000 0.5000 0.0000 Te
0.5000 0.5000 0.5000 C
0.0000 0.5000 0.5000 I
0.5000 0.0000 0.5000 I
```

Calculated values
* relative energy among the computed polymorphs: 0.00 kcal/mol of atoms
* energy relative to the elements, uncorrected: 0.894 eV per atom

***

[2]
## GaTeCI2 (GGA-PBEsol)

Data for a relaxed GaTeCI2 crystal.

The structure in POSCAR format:
```
GaTeCI2
1.0
5.4637 0.0000 0.0000
0.0000 5.4637 0.0000
0.0000 0.0000 5.3794
Ga Te C I
1 1 1 2
Direct
0.0000 0.0000 0.0000 Ga
0.0000 0.0000 0.5000 Te
0.5000 0.5000 0.5000 C
0.0000 0.5000 0.0000 I
0.5000 0.0000 0.0000 I
```

Calculated values
* relative energy among the computed polymorphs: 16.30 kcal/mol of atoms
* energy relative to the elements, uncorrected: 1.601 eV per atom

***

[3]
## GaIr2RuC (GGA-PBEsol)

Data for a relaxed GaIr2RuC crystal.

The structure in POSCAR format:
```
GaIr2RuC
1.0
4.7502 0.0000 0.0000
0.0000 4.7502 0.0000
0.0000 0.0000 3.7255
Ga Ir Ru C
1 2 1 1
Direct
0.0000 0.0000 0.0000 Ga
0.0000 0.5000 0.5000 Ir
0.5000 0.0000 0.5000 Ir
0.5000 0.5000 0.5000 Ru
0.5000 0.5000 0.0000 C
```

Calculated values
* DFT formation energy: 1.71 eV/atom

***

Computed values of total energy (unit: eV/atom) for the preceding records, in sequence: -3.114 -2.407 -6.850.